[1]
## Sr2Pd3Au4 (PBE)

Data for a relaxed structure of Sr2Pd3Au4.

The structure in POSCAR format:
```
Sr2Pd3Au4
1.0
5.209 0.000 1.944
2.604 4.807 0.972
0.156 0.000 7.531
Sr Pd Au
2 3 4
Direct
0.370 0.000 0.261
0.630 0.000 0.739
0.000 0.500 0.000
0.500 0.500 0.000
0.000 0.000 0.000
0.000 0.666 0.335
0.334 0.666 0.665
0.000 0.334 0.665
0.666 0.334 0.335
```

Output
- Energy of formation from the pure elements: -0.57 eV/atom
- Magnetic moment: 0.00 μB per cell
- SG: Fmmm (69)

---

[2]
## SiAg3Bi (PBE)

Data for a relaxed structure of SiAg3Bi.

The structure in POSCAR format:
```
SiAg3Bi
1.0
4.874 0.000 0.000
0.000 4.874 0.000
0.000 0.000 4.874
Ag Si Bi
3 1 1
Direct
0.000 0.000 0.500
0.000 0.500 0.000
0.500 0.000 0.000
0.000 0.000 0.000
0.500 0.500 0.500
```

Output
- Energy above the lowest structure with this stoichiometry: 0.000 eV/atom
- Magnetic moment: 0.00 μB per cell
- Energy relative to the elements, uncorrected: 0.418 eV/atom
- SG: Pm-3m (221)

---

[3]
## AlPd3Pb (PBE)

Data for a relaxed structure of AlPd3Pb.

The structure in POSCAR format:
```
AlPd3Pb
1.0
-3.986 -1.812 -1.609
1.643 -4.297 0.771
-1.782 0.092 4.310
Pd Pb Al
3 1 1
Direct
0.500 0.000 0.000
0.000 0.500 0.000
0.000 0.000 0.500
0.500 0.500 0.500
0.000 0.000 0.000
```

Output
- Energy above the lowest structure with this stoichiometry: 0.000 eV/atom
- Energy of formation from the pure elements: -0.08 eV/atom
- Magnetic moment: 0.00 μB per cell
- SG: Pm-3m (221)

---

[4]
## La3TeOs (PBE)

Data for a relaxed structure of La3TeOs.

The structure in POSCAR format:
```
La3TeOs
1.0
4.413 0.000 0.000
0.000 8.745 0.000
0.000 0.000 16.325
La Te Os
12 4 4
Direct
0.750 0.502 0.902
0.750 0.155 0.034
0.250 0.498 0.098
0.750 0.329 0.300
0.750 0.655 0.466
0.250 0.345 0.534
0.250 0.171 0.800
0.250 0.998 0.402
0.750 0.002 0.598
0.250 0.845 0.966
0.250 0.671 0.700
0.750 0.829 0.200
0.750 0.380 0.698
0.250 0.120 0.198
0.250 0.620 0.302
0.750 0.880 0.802
0.750 0.206 0.449
0.250 0.794 0.551
0.750 0.706 0.051
0.250 0.294 0.949
```

Output
- Energy above the lowest structure with this stoichiometry: 0.000 eV/atom
- Magnetic moment: 0.00 μB per cell
- Energy relative to the elements, uncorrected: -0.716 eV/atom
- SG: Pnma (62)

---

[5]
## SiAg2Pb (PBE)

Data for a relaxed structure of SiAg2Pb.

The structure in POSCAR format:
```
SiAg2Pb
1.0
-1.343 -3.362 -2.801
0.074 -2.946 3.502
-9.007 -1.275 2.109
Pb Ag Si
2 4 2
Direct
0.000 0.000 0.000
0.750 0.250 0.500
0.375 0.450 0.750
0.200 0.625 0.250
0.875 0.800 0.750
0.550 0.125 0.250
0.500 0.500 0.000
0.250 0.750 0.500
```

Output
- Energy above the lowest structure with this stoichiometry: 0.069 eV/atom
- Magnetic moment: 0.00 μB per cell
- Energy relative to the elements, uncorrected: 0.335 eV/atom
- SG: I-42d (122)

---

[6]
## Ba2ZnBiH (PBE)

Data for a relaxed structure of Ba2ZnBiH.

The structure in POSCAR format:
```
Ba2ZnBiH
1.0
5.605 0.000 0.000
0.000 5.605 0.000
0.000 0.000 4.763
H Ba Bi Zn
1 2 1 1
Direct
0.000 0.000 0.000
0.000 0.500 0.000
0.500 0.000 0.000
0.500 0.500 0.500
0.000 0.000 0.500
```

Output
- Magnetic moment: 0.00 μB per cell
- SG: P4/mmm (123)
- DFT total energy: -0.1085 Ha/atom